Record 1
Below is an optimized crystal structure of Li2VOF4, with properties calculated at the PBE+U level.

Structure (POSCAR):
```
Li2VOF4
1.0
7.023 0.000 0.000
0.000 10.895 0.000
0.000 0.000 5.043
Li V O F
8 4 4 16
direct
0.144 0.237 0.000
0.154 0.960 0.150
0.346 0.460 0.650
0.356 0.737 0.500
0.644 0.263 0.000
0.654 0.540 0.150
0.846 0.040 0.650
0.856 0.763 0.500
0.174 0.570 0.097
0.326 0.070 0.597
0.674 0.930 0.097
0.826 0.430 0.597
0.223 0.139 0.341
0.277 0.639 0.841
0.723 0.361 0.341
0.777 0.861 0.841
0.086 0.457 0.464
0.096 0.706 0.313
0.098 0.063 0.827
0.230 0.404 0.988
0.270 0.904 0.488
0.402 0.563 0.327
0.404 0.206 0.813
0.414 0.957 0.964
0.586 0.043 0.464
0.596 0.794 0.313
0.598 0.437 0.827
0.730 0.096 0.988
0.770 0.596 0.488
0.902 0.937 0.327
0.904 0.294 0.813
0.914 0.543 0.964
```

Summary:
Energy above the lowest structure with this stoichiometry, eV per atom: 0.038
Calculated total energy, eV per atom: -5.65

Record 2
Below is an optimized crystal structure of Li6V2O5F2, with properties calculated at the PBE+U level.

Structure (POSCAR):
```
Li6V2O5F2
1.0
5.890 0.000 0.000
-2.868 5.167 0.000
-0.240 -1.765 9.837
Li V O F
12 4 10 4
direct
0.023 0.358 0.395
0.160 0.083 0.107
0.187 0.633 0.092
0.298 0.365 0.912
0.409 0.611 0.575
0.419 0.090 0.603
0.581 0.910 0.397
0.591 0.389 0.425
0.702 0.635 0.088
0.813 0.367 0.908
0.840 0.917 0.893
0.977 0.642 0.605
0.050 0.878 0.375
0.301 0.884 0.877
0.699 0.116 0.123
0.950 0.122 0.625
0.001 0.261 0.026
0.155 0.029 0.750
0.235 0.229 0.490
0.238 0.743 0.470
0.499 0.764 0.987
0.501 0.236 0.013
0.762 0.257 0.530
0.765 0.771 0.510
0.845 0.971 0.250
0.999 0.739 0.974
0.171 0.520 0.735
0.351 0.971 0.237
0.649 0.029 0.763
0.829 0.480 0.265
```

Summary:
Energy above the lowest structure with this stoichiometry, eV per atom: 0.000
Calculated total energy, eV per atom: -5.85